(1)
Below is a relaxed structure of ZrBiTeI2, with properties calculated at the GGA-PBE level.

```
ZrBiTeI2
1.0
-4.7085 -0.0827 3.5292
3.4326 -1.9975 4.5329
1.1075 5.5516 1.6078
I Zr Bi Te
2 1 1 1
Direct
0.5000 0.0000 0.0000
0.0000 0.0000 0.5000
0.5000 0.5000 0.5000
0.0000 0.5000 0.0000
0.0000 0.0000 0.0000
```

**Energy above the lowest structure with this stoichiometry**: 928.0 meV per atom
**Symmetry**: No. 123
**Total magnetic moment**: 0.356 μB per atom
**Fermi-level density of states**: 7.2 states/eV per cell
**Crystal system**: tetragonal

***

(2)
Below is a relaxed structure of ZrBiTeI2, with properties calculated at the GGA-PBE level.

```
ZrBiTeI2
1.0
-1.4853 2.2348 -5.1011
4.4215 -2.7367 -2.4864
-3.3606 -4.5194 -1.0015
Te I Bi Zr
1 2 1 1
Direct
0.0000 0.0000 0.5000
0.5000 0.0000 0.0000
0.0000 0.5000 0.0000
0.5000 0.5000 0.5000
0.0000 0.0000 0.0000
```

**Energy above the lowest structure with this stoichiometry**: 0.0 meV per atom
**Symmetry**: No. 123
**Total magnetic moment**: 0.585 μB per atom
**Fermi-level density of states**: 3.2 states/eV per cell
**Crystal system**: tetragonal

***

(3)
Below is a relaxed structure of ThBiI, with properties calculated at the GGA-PBE level.

```
ThBiI
1.0
-0.9778 -1.0433 3.4619
0.1594 -5.2526 -1.5379
4.4956 2.4062 1.9949
Bi Th I
1 1 1
Direct
0.6664 0.6667 0.3333
0.1664 0.0000 0.0000
0.1673 0.3333 0.6667
```

**Energy above the lowest structure with this stoichiometry**: 215.1 meV per atom
**Symmetry**: No. 187
**Total magnetic moment**: 0.000 μB per atom
**Fermi-level density of states**: 0.9 states/eV per cell
**Crystal system**: hexagonal

***

(4)
Below is a relaxed structure of ThBiI, with properties calculated at the GGA-PBE level.

```
ThBiI
1.0
-2.6451 3.2765 -1.8227
-3.1952 -3.1370 -1.0021
-5.6350 1.9864 11.7485
Th I Bi
2 2 2
Direct
0.2500 0.2500 0.6399
0.7500 0.7500 0.3601
0.2500 0.2500 0.8619
0.7500 0.7500 0.1381
0.7500 0.7500 0.6181
0.2500 0.2500 0.3819
```

**Energy above the lowest structure with this stoichiometry**: 0.0 meV per atom
**Symmetry**: No. 129
**Total magnetic moment**: 0.000 μB per atom
**Fermi-level density of states**: 1.6 states/eV per cell
**Crystal system**: tetragonal

***

(5)
Below is a relaxed structure of ThBiI, with properties calculated at the GGA-PBE level.

```
ThBiI
1.0
8.4262 -1.2876 -0.0899
-1.1583 5.8391 -0.3095
2.2145 0.8918 5.4222
I Bi Th
2 2 2
Direct
0.0003 0.7649 0.2366
0.9997 0.2351 0.7634
0.5028 0.2515 0.2488
0.4972 0.7485 0.7512
0.3379 0.1690 0.8310
0.6621 0.8310 0.1690
```

**Energy above the lowest structure with this stoichiometry**: 55.0 meV per atom
**Symmetry**: No. 2
**Total magnetic moment**: 0.000 μB per atom
**Fermi-level density of states**: 0.3 states/eV per cell
**Crystal system**: triclinic

***

(6)
Below is a relaxed structure of ThBiI2, with properties calculated at the GGA-PBE level.

```
ThBiI2
1.0
3.7727 0.0000 0.0000
1.8863 3.2672 0.0000
1.8863 1.0891 12.7233
Th I Bi
1 2 1
Direct
0.5000 0.5000 0.5000
0.1051 0.1051 0.6846
0.8949 0.8949 0.3154
0.0000 0.0000 0.0000
```

**Symmetry**: No. 166
**Total magnetic moment**: 0.000 μB per atom
**Total energy**: -16.43 eV for the cell shown
**Fermi-level density of states**: 2.8 states/eV per cell
**Crystal system**: trigonal

***

(7)
Below is a relaxed structure of TiBi2I, with properties calculated at the GGA-PBE level.

```
TiBi2I
1.0
-1.4168 -0.0164 -6.1008
1.2273 -6.1359 -0.2685
-8.0808 -4.7548 -1.3255
Ti Bi I
2 4 2
Direct
0.5000 0.5000 0.0000
0.2500 0.7500 0.5000
0.8750 0.7556 0.7500
0.3750 0.4944 0.7500
0.2444 0.6250 0.2500
0.5056 0.1250 0.2500
0.7500 0.2500 0.5000
0.0000 0.0000 0.0000
```

**Energy above the lowest structure with this stoichiometry**: 0.0 meV per atom
**Symmetry**: No. 122
**Total magnetic moment**: 0.004 μB per atom
**Fermi-level density of states**: 5.1 states/eV per cell
**Crystal system**: tetragonal

***

(8)
Below is a relaxed structure of TiBi2I, with properties calculated at the GGA-PBE level.

```
TiBi2I
1.0
4.7804 -2.2218 1.4121
0.1444 -4.9895 2.2062
2.0119 -4.1906 -2.8590
Bi I Ti
2 1 1
Direct
0.7500 0.7500 0.7500
0.2500 0.2500 0.2500
0.5000 0.5000 0.5000
0.0000 0.0000 0.0000
```

**Energy above the lowest structure with this stoichiometry**: 153.6 meV per atom
**Symmetry**: No. 225
**Total magnetic moment**: 0.422 μB per atom
**Fermi-level density of states**: 4.8 states/eV per cell
**Crystal system**: cubic

***

(9)
Below is a relaxed structure of Ti2Bi2I, with properties calculated at the GGA-PBE level.

```
Ti2Bi2I
1.0
-0.7123 7.9050 -1.7871
-2.0699 -1.9119 -7.6322
-3.5725 -0.0973 0.9933
Bi Ti I
4 4 2
Direct
0.3553 0.1447 0.5000
0.8553 0.3553 0.5000
0.1447 0.6447 0.5000
0.6447 0.8553 0.5000
0.6418 0.1418 0.0000
0.1418 0.3582 0.0000
0.3582 0.8582 0.0000
0.8582 0.6418 0.0000
0.5000 0.5000 0.0000
0.0000 0.0000 0.0000
```

**Symmetry**: No. 127
**Total magnetic moment**: 0.000 μB per atom
**Total energy**: -50.77 eV for the cell shown
**Fermi-level density of states**: 6.9 states/eV per cell
**Crystal system**: tetragonal

***

(10)
Below is a relaxed structure of TiV2BiI, with properties calculated at the GGA-PBE level.

```
TiV2BiI
1.0
5.3462 0.0000 0.0000
0.0000 5.4851 0.0000
0.0000 0.0000 5.3462
Bi V I Ti
1 2 1 1
Direct
0.0000 0.0000 0.0000
0.5000 0.0000 0.0000
0.0000 0.0000 0.5000
0.5000 0.5000 0.5000
0.0000 0.5000 0.0000
```

**Symmetry**: No. 123
**Total magnetic moment**: 1.997 μB per atom
**Total energy**: -25.48 eV for the cell shown
**Fermi-level density of states**: 9.5 states/eV per cell
**Crystal system**: tetragonal

***

(11)
Below is a relaxed structure of TiBiW2I, with properties calculated at the GGA-PBE level.

```
TiBiW2I
1.0
4.8960 0.0000 0.0000
0.0000 5.0927 0.0000
0.0000 0.0000 4.8960
W Bi I Ti
2 1 1 1
Direct
0.0000 0.0000 0.5000
0.5000 0.0000 0.0000
0.5000 0.5000 0.5000
0.0000 0.5000 0.0000
0.0000 0.0000 0.0000
```

**Symmetry**: No. 123
**Total magnetic moment**: 0.435 μB per atom
**Total energy**: -30.15 eV for the cell shown
**Fermi-level density of states**: 6.0 states/eV per cell
**Crystal system**: tetragonal

***

(12)
Below is a relaxed structure of TlBi2I8, with properties calculated at the GGA-PBE level.

```
TlBi2I8
1.0
6.1925 0.3487 0.5234
-0.5362 9.2627 -0.2117
-0.5362 -3.7629 8.4666
I Tl Bi
8 1 2
Direct
0.0028 0.0646 0.3243
0.7476 0.4989 0.4989
0.9972 0.6757 0.9354
0.2524 0.5011 0.5011
0.0028 0.3243 0.0646
0.9972 0.9354 0.6757
0.5000 0.2421 0.7579
0.5000 0.7579 0.2421
0.5000 0.0000 0.0000
0.0000 0.2789 0.7211
0.0000 0.7211 0.2789
```

**Symmetry**: No. 12
**Total magnetic moment**: 0.000 μB per atom
**Total energy**: -26.11 eV for the cell shown
**Fermi-level density of states**: 1.7 states/eV per cell
**Crystal system**: monoclinic